A plane-wave DFT calculation with PBE was carried out for a relaxed structure of LaTcHg.

Computed properties:
**Size of the total moment**: 0.00 μB/atom
**Energy of formation**: 0.97 eV/f.u.
**Calculated total energy**: -58.52 eV for the cell shown

abc: 3.9353 5.3683 12.9763
angles: 90.00 90.00 90.00
Space group Fmm2 (No. 42)
Unique sites:
La  0.0000  0.0000  0.0000 (multiplicity 4)
Tc  0.0000  0.0000  0.3622 (multiplicity 4)
Hg  0.0000  0.0000  0.7077 (multiplicity 4)


A plane-wave DFT calculation with PBE was carried out for a relaxed structure of Pm2HoErTm.

Computed properties:
**Size of the total moment**: 0.00 μB/atom
**Energy of formation**: 2.15 eV/f.u.
**Calculated total energy**: -83.86 eV for the cell shown

abc: 8.3903 11.4200 7.2538
angles: 90.00 90.00 90.00
Space group Cmcm (No. 63)
Unique sites:
Pm  0.1933  0.0000  0.0000 (multiplicity 8)
Ho  0.0000  0.2253  0.2500 (multiplicity 4)
Er  0.0000  0.4982  0.2500 (multiplicity 4)
Tm  0.0000  0.2263  0.7500 (multiplicity 4)


A plane-wave DFT calculation with PBE was carried out for a relaxed structure of Pa2TcRhN5.

Computed properties:
**Size of the total moment**: 0.00 μB/atom
**Calculated total energy**: -340.96 eV for the cell shown
**Formation energy without anion corrections**: -0.767 eV/atom

abc: 3.3583 12.9734 10.0073
angles: 90.00 90.00 90.00
Space group Cmc2_1 (No. 36)
Unique sites:
Pa  0.0000  0.0996  0.0000 (multiplicity 4)
Pa  0.0000  0.1534  0.6297 (multiplicity 4)
Tc  0.0000  0.2052  0.3527 (multiplicity 4)
Rh  0.0000  0.4706  0.7662 (multiplicity 4)
N  0.0000  0.0604  0.3895 (multiplicity 4)
N  0.0000  0.2772  0.9730 (multiplicity 4)
N  0.0000  0.3194  0.6829 (multiplicity 4)
N  0.0000  0.3700  0.3179 (multiplicity 4)
N  0.0000  0.4827  0.0770 (multiplicity 4)


A plane-wave DFT calculation with PBE was carried out for a relaxed structure of NiAsPbBr2.

Computed properties:
**Size of the total moment**: 0.00 μB/atom
**Calculated total energy**: -17.49 eV for the cell shown
**Formation energy without anion corrections**: 0.000 eV/atom

abc: 4.9620 4.9620 4.8494
angles: 90.00 90.00 90.00
Space group P4/mmm (No. 123)
Unique sites:
Ni  0.0000  0.0000  0.0000 (multiplicity 1)
As  0.0000  0.0000  0.5000 (multiplicity 1)
Pb  0.5000  0.5000  0.5000 (multiplicity 1)
Br  0.0000  0.5000  0.0000 (multiplicity 2)


A plane-wave DFT calculation with PBE was carried out for a relaxed structure of NaPu2NpSe4.

Computed properties:
**Size of the total moment**: 0.52 μB/atom
**Calculated total energy**: -67.37 eV for the cell shown
**Formation energy without anion corrections**: -1.313 eV/atom

abc: 7.1905 4.1393 7.2668
angles: 90.00 109.24 90.00
Space group P2/m (No. 10)
Unique sites:
Na  0.0000  0.0000  0.0000 (multiplicity 1)
Pu  0.5000  0.0000  0.5000 (multiplicity 1)
Pu  0.5000  0.5000  0.0000 (multiplicity 1)
Np  0.0000  0.5000  0.5000 (multiplicity 1)
Se  0.2494  0.0000  0.7473 (multiplicity 2)
Se  0.2518  0.5000  0.2573 (multiplicity 2)


A plane-wave DFT calculation with PBE was carried out for a relaxed structure of Mg3C.

Computed properties:
**Size of the total moment**: 0.00 μB/atom
**Energy of formation**: 2.71 eV/f.u.
**Calculated total energy**: -11.30 eV for the cell shown

abc: 3.8860 3.8860 4.9581
angles: 90.00 90.00 90.00
Space group P4mm (No. 99)
Unique sites:
Mg  0.0000  0.0000  0.0000 (multiplicity 1)
Mg  0.0000  0.5000  0.4702 (multiplicity 2)
C  0.5000  0.5000  0.2585 (multiplicity 1)


A plane-wave DFT calculation with PBE was carried out for a relaxed structure of AlAg4.

Computed properties:
**Size of the total moment**: 0.00 μB/atom
**Energy of formation**: -0.08 eV/f.u.
**Calculated total energy**: -30.46 eV for the cell shown

abc: 2.9477 2.9477 19.9979
angles: 90.00 90.00 90.00
Space group I4/mmm (No. 139)
Unique sites:
Al  0.0000  0.0000  0.0000 (multiplicity 2)
Ag  0.0000  0.0000  0.1984 (multiplicity 4)
Ag  0.0000  0.0000  0.4078 (multiplicity 4)


A plane-wave DFT calculation with PBE was carried out for a relaxed structure of MgS5I.

Computed properties:
**Size of the total moment**: 0.00 μB/atom
**Calculated total energy**: -25.50 eV for the cell shown
**Formation energy without anion corrections**: -0.246 eV/atom

abc: 4.3763 7.4450 7.5164
angles: 81.18 86.66 86.54
Space group P1 (No. 1)
Unique sites:
Mg  0.0000  0.0000  0.0000 (multiplicity 1)
S  0.0042  0.5638  0.4395 (multiplicity 1)
S  0.0556  0.6695  0.9875 (multiplicity 1)
S  0.2312  0.8055  0.4150 (multiplicity 1)
S  0.7767  0.5825  0.2003 (multiplicity 1)
S  0.9507  0.0193  0.3259 (multiplicity 1)
I  0.5004  0.1736  0.8235 (multiplicity 1)


A plane-wave DFT calculation with PBE was carried out for a relaxed structure of Dy6Ho12Mg.

Computed properties:
**Size of the total moment**: 0.00 μB/atom
**Energy of formation**: 2.61 eV/f.u.
**Calculated total energy**: -244.59 eV for the cell shown

abc: 11.7761 11.7761 14.9469
angles: 90.00 90.00 120.00
Space group R-3 (No. 148, hexagonal axes)
Unique sites:
Dy  0.0169  0.5911  0.1871 (multiplicity 18)
Ho  0.0018  0.8260  0.3125 (multiplicity 18)
Ho  0.0455  0.1949  0.9156 (multiplicity 18)
Mg  0.0000  0.0000  0.5000 (multiplicity 3)


A plane-wave DFT calculation with PBE was carried out for a relaxed structure of PmGe2OsPd.

Computed properties:
**Size of the total moment**: 0.00 μB/atom
**Energy of formation**: -2.88 eV/f.u.
**Calculated total energy**: -66.58 eV for the cell shown

abc: 4.1909 4.1909 10.5889
angles: 90.00 90.00 90.00
Space group I-4m2 (No. 119)
Unique sites:
Pm  0.0000  0.0000  0.0000 (multiplicity 2)
Ge  0.0000  0.0000  0.3778 (multiplicity 4)
Os  0.0000  0.5000  0.2500 (multiplicity 2)
Pd  0.0000  0.5000  0.7500 (multiplicity 2)


A plane-wave DFT calculation with PBE was carried out for a relaxed structure of Ga2SnI.

Computed properties:
**Size of the total moment**: 0.00 μB/atom
**Calculated total energy**: -45.08 eV for the cell shown
**Formation energy without anion corrections**: 0.084 eV/atom

abc: 6.5357 6.5357 14.0131
angles: 90.00 90.00 90.00
Space group I-42d (No. 122)
Unique sites:
Ga  0.2064  0.2500  0.1250 (multiplicity 8)
Sn  0.0000  0.0000  0.0000 (multiplicity 4)
I  0.0000  0.0000  0.5000 (multiplicity 4)


A plane-wave DFT calculation with PBE was carried out for a relaxed structure of HoTm4Th.

Computed properties:
**Size of the total moment**: 0.00 μB/atom
**Energy of formation**: 1.00 eV/f.u.
**Calculated total energy**: -115.53 eV for the cell shown

abc: 8.6848 14.3438 6.5647
angles: 90.00 110.61 90.00
Space group C2/c (No. 15)
Unique sites:
Ho  0.0000  0.0885  0.2500 (multiplicity 4)
Tm  0.0925  0.3058  0.5348 (multiplicity 8)
Tm  0.2014  0.1285  0.8786 (multiplicity 8)
Th  0.0000  0.4994  0.2500 (multiplicity 4)